No. 1
{"formula": "ZnCu2Ni", "functional": "PBE", "state": "relaxed", "formation_energy_ev_per_atom": -0.06, "spacegroup": "Pmmm, No. 47", "cell": [[2.5883, 0.0000, 0.0000], [0.0000, 3.6237, 0.0000], [0.0000, 0.0000, 5.1536]], "species": ["Zn", "Cu", "Cu", "Ni"], "frac_coords": [[0.0000, 0.0000, 0.0000], [0.5000, 0.5000, 0.2580], [0.5000, 0.5000, 0.7420], [0.0000, 0.0000, 0.5000]]}


No. 2
{"formula": "HfHgPCl2", "functional": "PBE", "state": "relaxed", "e_form_raw_ev_per_atom": -0.659, "e_above_lowest_polymorph_mev_per_atom": 0.0, "spacegroup": "P4/mmm, No. 123", "cell": [[4.9648, 0.0000, 0.0000], [0.0000, 4.9648, 0.0000], [0.0000, 0.0000, 5.1779]], "species": ["Hf", "Hg", "P", "Cl", "Cl"], "frac_coords": [[0.0000, 0.0000, 0.0000], [0.5000, 0.5000, 0.5000], [0.0000, 0.0000, 0.5000], [0.0000, 0.5000, 0.0000], [0.5000, 0.0000, 0.0000]]}


No. 3
{"formula": "PaTl3Sb2Te6", "functional": "PBE", "state": "relaxed", "e_form_raw_ev_per_atom": -0.338, "spacegroup": "C2/m, No. 12", "cell": [[3.9002, -6.7493, 0.0000], [3.9002, 6.7493, 0.0000], [-2.5961, 0.0000, 8.0955]], "species": ["Pa", "Tl", "Tl", "Tl", "Sb", "Sb", "Te", "Te", "Te", "Te", "Te", "Te"], "frac_coords": [[0.0000, 0.0000, 0.0000], [0.1627, 0.8373, 0.5000], [0.5000, 0.5000, 0.5000], [0.8373, 0.1627, 0.5000], [0.3321, 0.6679, 0.0000], [0.6679, 0.3321, 0.0000], [0.0713, 0.4027, 0.2144], [0.2615, 0.2615, 0.7880], [0.4027, 0.0713, 0.2144], [0.5973, 0.9287, 0.7856], [0.7385, 0.7385, 0.2120], [0.9287, 0.5973, 0.7856]]}


No. 4
{"formula": "Ac5Ag6", "functional": "PBE", "state": "relaxed", "formation_energy_ev_per_atom": -0.14, "spacegroup": "C2/m, No. 12", "cell": [[8.6634, -3.9724, 0.0000], [8.6634, 3.9724, 0.0000], [-1.6369, 0.0000, 5.2915]], "species": ["Ac", "Ac", "Ac", "Ac", "Ac", "Ag", "Ag", "Ag", "Ag", "Ag", "Ag"], "frac_coords": [[0.0000, 0.0000, 0.0000], [0.1758, 0.1758, 0.6737], [0.3592, 0.3592, 0.3456], [0.6408, 0.6408, 0.6544], [0.8242, 0.8242, 0.3263], [0.0477, 0.5965, 0.8227], [0.2069, 0.7931, 0.5000], [0.4035, 0.9523, 0.1773], [0.5965, 0.0477, 0.8227], [0.7931, 0.2069, 0.5000], [0.9523, 0.4035, 0.1773]]}


No. 5
{"formula": "ZrHgSe2", "functional": "PBE", "state": "relaxed", "e_form_raw_ev_per_atom": -0.991, "e_above_lowest_polymorph_mev_per_atom": 0.0, "spacegroup": "P-1, No. 2", "cell": [[3.7833, 0.0000, 0.0000], [-1.8906, 3.2772, 0.0000], [-0.0091, -2.1460, 9.4608]], "species": ["Zr", "Hg", "Se", "Se"], "frac_coords": [[0.0000, 0.0000, 0.0000], [0.5000, 0.0000, 0.5000], [0.2774, 0.5556, 0.8304], [0.7226, 0.4444, 0.1696]]}


No. 6
{"formula": "PPtAuS2", "functional": "PBE", "state": "relaxed", "e_form_raw_ev_per_atom": 1.348, "e_above_lowest_polymorph_mev_per_atom": 526.2, "spacegroup": "P4/mmm, No. 123", "cell": [[4.8175, 0.0000, 0.0000], [0.0000, 4.8175, 0.0000], [0.0000, 0.0000, 4.6947]], "species": ["P", "Pt", "Au", "S", "S"], "frac_coords": [[0.0000, 0.0000, 0.0000], [0.5000, 0.5000, 0.0000], [0.0000, 0.0000, 0.5000], [0.0000, 0.5000, 0.5000], [0.5000, 0.0000, 0.5000]]}


No. 7
{"formula": "RbPa3P4N12", "functional": "PBE", "state": "relaxed", "e_form_raw_ev_per_atom": -0.782, "spacegroup": "R32, No. 155", "cell": [[5.4644, 3.1549, 3.0965], [-5.4644, 3.1549, 3.0965], [0.0000, -6.3098, 3.0965]], "species": ["Rb", "Pa", "Pa", "Pa", "P", "P", "P", "P", "N", "N", "N", "N", "N", "N", "N", "N", "N", "N", "N", "N"], "frac_coords": [[0.0000, 0.0000, 0.0000], [0.0000, 0.5490, 0.4510], [0.4510, 0.0000, 0.5490], [0.5490, 0.4510, 0.0000], [0.0506, 0.5000, 0.9494], [0.5000, 0.5000, 0.5000], [0.5000, 0.9494, 0.0506], [0.9494, 0.0506, 0.5000], [0.0082, 0.5956, 0.7672], [0.0960, 0.9040, 0.5000], [0.2328, 0.4044, 0.9918], [0.3546, 0.6454, 0.5000], [0.4044, 0.9918, 0.2328], [0.5000, 0.0960, 0.9040], [0.5000, 0.3546, 0.6454], [0.5956, 0.7672, 0.0082], [0.6454, 0.5000, 0.3546], [0.7672, 0.0082, 0.5956], [0.9040, 0.5000, 0.0960], [0.9918, 0.2328, 0.4044]]}


No. 8
{"formula": "AcCe2Zn2Si2", "functional": "PBE", "state": "relaxed", "e_form_raw_ev_per_atom": -0.390, "spacegroup": "R-3m, No. 166", "cell": [[2.1447, 1.2382, 9.8101], [-2.1447, 1.2382, 9.8101], [0.0000, -2.4764, 9.8101]], "species": ["Ac", "Ce", "Ce", "Zn", "Zn", "Si", "Si"], "frac_coords": [[0.0000, 0.0000, 0.0000], [0.1428, 0.1428, 0.1428], [0.8572, 0.8572, 0.8572], [0.4109, 0.4109, 0.4109], [0.5891, 0.5891, 0.5891], [0.2555, 0.2555, 0.2555], [0.7445, 0.7445, 0.7445]]}


No. 9
{"formula": "Ac2LaCeRh2", "functional": "PBE", "state": "relaxed", "formation_energy_ev_per_atom": -0.49, "spacegroup": "Ibam, No. 72", "cell": [[-3.6790, 6.9148, 3.5996], [3.6790, -6.9148, 3.5996], [3.6790, 6.9148, -3.5996]], "species": ["Ac", "Ac", "Ac", "Ac", "La", "La", "Ce", "Ce", "Rh", "Rh", "Rh", "Rh"], "frac_coords": [[0.1973, 0.1986, 0.3959], [0.3027, 0.6986, 0.0013], [0.6973, 0.3014, 0.9987], [0.8027, 0.8014, 0.6041], [0.2500, 0.7500, 0.5000], [0.7500, 0.2500, 0.5000], [0.2500, 0.2500, 0.0000], [0.7500, 0.7500, 0.0000], [0.0923, 0.7774, 0.8697], [0.4077, 0.2774, 0.6851], [0.5923, 0.7226, 0.3149], [0.9077, 0.2226, 0.1303]]}


No. 10
{"formula": "Tb2PrDyHo5", "functional": "PBE", "state": "relaxed", "formation_energy_ev_per_atom": 0.28, "spacegroup": "I4/mcm, No. 140", "cell": [[-4.4486, 4.4486, 7.3807], [4.4486, -4.4486, 7.3807], [4.4486, 4.4486, -7.3807]], "species": ["Tb", "Tb", "Tb", "Tb", "Pr", "Pr", "Dy", "Dy", "Ho", "Ho", "Ho", "Ho", "Ho", "Ho", "Ho", "Ho", "Ho", "Ho"], "frac_coords": [[0.1132, 0.6132, 0.7263], [0.3868, 0.1132, 0.5000], [0.6132, 0.8868, 0.5000], [0.8868, 0.3868, 0.2737], [0.2500, 0.2500, 0.0000], [0.7500, 0.7500, 0.0000], [0.2500, 0.7500, 0.5000], [0.7500, 0.2500, 0.5000], [0.0000, 0.0000, 0.0000], [0.0733, 0.1615, 0.5000], [0.1615, 0.6615, 0.0883], [0.3385, 0.4267, 0.5000], [0.4267, 0.9267, 0.0883], [0.5000, 0.5000, 0.0000], [0.5733, 0.0733, 0.9117], [0.6615, 0.5733, 0.5000], [0.8385, 0.3385, 0.9117], [0.9267, 0.8385, 0.5000]]}


No. 11
{"formula": "MgURh6", "functional": "PBE", "state": "relaxed", "formation_energy_ev_per_atom": -0.50, "spacegroup": "P4/mmm, No. 123", "cell": [[5.5870, 0.0000, 0.0000], [0.0000, 5.5870, 0.0000], [0.0000, 0.0000, 3.9631]], "species": ["Mg", "U", "Rh", "Rh", "Rh", "Rh", "Rh", "Rh"], "frac_coords": [[0.0000, 0.0000, 0.0000], [0.5000, 0.5000, 0.0000], [0.0000, 0.5000, 0.0000], [0.2503, 0.2503, 0.5000], [0.2503, 0.7497, 0.5000], [0.5000, 0.0000, 0.0000], [0.7497, 0.2503, 0.5000], [0.7497, 0.7497, 0.5000]]}


No. 12
{"formula": "PrThRe4", "functional": "PBE", "state": "relaxed", "formation_energy_ev_per_atom": 0.05, "spacegroup": "F-43m, No. 216", "cell": [[0.0000, 3.9132, 3.9132], [3.9132, 0.0000, 3.9132], [3.9132, 3.9132, 0.0000]], "species": ["Pr", "Th", "Re", "Re", "Re", "Re"], "frac_coords": [[0.0000, 0.0000, 0.0000], [0.7500, 0.7500, 0.7500], [0.3750, 0.3750, 0.3750], [0.3750, 0.3750, 0.8750], [0.3750, 0.8750, 0.3750], [0.8750, 0.3750, 0.3750]]}


No. 13
{"formula": "SrSbAs", "functional": "PBE", "state": "relaxed", "e_form_raw_ev_per_atom": -0.699, "e_above_lowest_polymorph_mev_per_atom": 39.1, "spacegroup": "Cm, No. 8", "cell": [[9.0484, -2.0309, 0.0000], [9.0484, 2.0309, 0.0000], [-0.0060, 0.0000, 4.7926]], "species": ["Sr", "Sr", "Sb", "Sb", "As", "As"], "frac_coords": [[0.0000, 0.0000, 0.0000], [0.7200, 0.7200, 0.0024], [0.1525, 0.1525, 0.5014], [0.8585, 0.8585, 0.5148], [0.3589, 0.3589, 0.9062], [0.5492, 0.5492, 0.4989]]}


No. 14
{"formula": "BaIrRhO6", "functional": "PBE", "state": "relaxed", "e_form_raw_ev_per_atom": -1.239, "spacegroup": "P312, No. 149", "cell": [[5.3567, 0.0000, 0.0000], [-2.6783, 4.6390, 0.0000], [0.0000, 0.0000, 5.6230]], "species": ["Ba", "Ir", "Rh", "O", "O", "O", "O", "O", "O"], "frac_coords": [[0.0000, 0.0000, 0.0000], [0.3333, 0.6667, 0.5000], [0.6667, 0.3333, 0.5000], [0.0054, 0.3967, 0.3065], [0.0054, 0.6087, 0.6935], [0.3913, 0.3967, 0.6935], [0.3913, 0.9946, 0.3065], [0.6033, 0.6087, 0.3065], [0.6033, 0.9946, 0.6935]]}


No. 15
{"formula": "CaLa2Hg", "functional": "PBE", "state": "relaxed", "formation_energy_ev_per_atom": -0.09, "spacegroup": "C2/m, No. 12", "cell": [[3.3132, -5.9970, 0.0000], [3.3132, 5.9970, 0.0000], [-1.6176, 0.0000, 3.2666]], "species": ["Ca", "La", "La", "Hg"], "frac_coords": [[0.0000, 0.0000, 0.0000], [0.0000, 0.5000, 0.5000], [0.5000, 0.0000, 0.5000], [0.5000, 0.5000, 0.0000]]}


No. 16
{"formula": "CoOs3", "functional": "PBE", "state": "relaxed", "formation_energy_ev_per_atom": 0.17, "spacegroup": "I4/mmm, No. 139", "cell": [[-1.8869, 1.8869, 3.7835], [1.8869, -1.8869, 3.7835], [1.8869, 1.8869, -3.7835]], "species": ["Co", "Os", "Os", "Os"], "frac_coords": [[0.0000, 0.0000, 0.0000], [0.2500, 0.7500, 0.5000], [0.5000, 0.5000, 0.0000], [0.7500, 0.2500, 0.5000]]}


No. 17
{"formula": "LiSiNi2", "functional": "PBE", "state": "relaxed", "e_form_raw_ev_per_atom": -0.355, "spacegroup": "P4/mmm, No. 123", "cell": [[2.7043, 0.0000, 0.0000], [0.0000, 2.7043, 0.0000], [0.0000, 0.0000, 6.4120]], "species": ["Li", "Si", "Ni", "Ni"], "frac_coords": [[0.0000, 0.0000, 0.0000], [0.0000, 0.0000, 0.5000], [0.5000, 0.5000, 0.2871], [0.5000, 0.5000, 0.7129]]}


No. 18
{"formula": "ZrMn2Cd", "functional": "PBE", "state": "relaxed", "formation_energy_ev_per_atom": 0.42, "spacegroup": "P2/m, No. 10", "cell": [[2.9100, 0.0000, 0.0000], [0.0000, 4.3111, 0.0000], [-1.1116, 0.0000, 5.6672]], "species": ["Zr", "Mn", "Mn", "Cd"], "frac_coords": [[0.0000, 0.0000, 0.0000], [0.3931, 0.5000, 0.8255], [0.6069, 0.5000, 0.1745], [0.5000, 0.0000, 0.5000]]}


No. 19
{"formula": "RbYFe3", "functional": "PBE", "state": "relaxed", "formation_energy_ev_per_atom": 1.59, "e_above_lowest_polymorph_mev_per_atom": 0.0, "spacegroup": "Pm-3m, No. 221", "cell": [[5.2845, 0.0000, 0.0000], [0.0000, 5.2845, 0.0000], [0.0000, 0.0000, 5.2845]], "species": ["Rb", "Y", "Fe", "Fe", "Fe"], "frac_coords": [[0.0000, 0.0000, 0.0000], [0.5000, 0.5000, 0.5000], [0.0000, 0.5000, 0.5000], [0.5000, 0.0000, 0.5000], [0.5000, 0.5000, 0.0000]]}


No. 20
{"formula": "Pm2AsSe", "functional": "PBE", "state": "relaxed", "e_form_raw_ev_per_atom": -1.360, "e_above_lowest_polymorph_mev_per_atom": 381.5, "spacegroup": "P4/mmm, No. 123", "cell": [[5.1787, 0.0000, 0.0000], [0.0000, 5.1787, 0.0000], [0.0000, 0.0000, 3.6212]], "species": ["Pm", "Pm", "As", "Se"], "frac_coords": [[0.0000, 0.5000, 0.0000], [0.5000, 0.0000, 0.0000], [0.0000, 0.0000, 0.5000], [0.5000, 0.5000, 0.5000]]}